(1)
VASP calculation (GGA-PBE) on a geometry-optimized BaAcIn6 structure.

CIF file:
```
data_BaAcIn6
_chemical_formula_sum 'Ba1 Ac1 In6'
_cell_length_a 5.1309
_cell_length_b 6.8861
_cell_length_c 6.9480
_cell_angle_alpha 90.00
_cell_angle_beta 90.00
_cell_angle_gamma 90.00
_symmetry_space_group_name_H-M 'P 1'
_symmetry_Int_Tables_number 1
_symmetry_space_group_name_Hall 'P 1'
loop_
_atom_site_label
_atom_site_fract_x
_atom_site_fract_y
_atom_site_fract_z
_atom_site_occupancy
Ba1 0.0000 0.6141 0.0000 1
Ac1 0.5000 0.3869 0.5000 1
In1 0.5000 0.8622 0.2567 1
In2 0.0000 0.1410 0.7441 1
In3 0.0000 0.1410 0.2559 1
In4 0.5000 0.8622 0.7433 1
In5 0.0000 0.7472 0.5000 1
In6 0.5000 0.2453 0.0000 1
```

Computed properties:
Crystal system: orthorhombic
Theoretical density, g/cm3: 7.12
Space group: Pmm2
ΔH_f (0 K), eV/atom: -0.360

(2)
VASP calculation (GGA-PBE) on a geometry-optimized BeAl2Sb structure.

CIF file:
```
data_BeAl2Sb
_chemical_formula_sum 'Be1 Al2 Sb1'
_cell_length_a 3.2353
_cell_length_b 3.2353
_cell_length_c 6.8916
_cell_angle_alpha 90.00
_cell_angle_beta 90.00
_cell_angle_gamma 90.00
_symmetry_space_group_name_H-M 'P 1'
_symmetry_Int_Tables_number 1
_symmetry_space_group_name_Hall 'P 1'
loop_
_atom_site_label
_atom_site_fract_x
_atom_site_fract_y
_atom_site_fract_z
_atom_site_occupancy
Sb1 0.5000 0.5000 0.6993 1
Al1 0.0000 0.0000 0.0533 1
Al2 0.5000 0.5000 0.2821 1
Be1 0.0000 0.0000 0.4654 1
```

Computed properties:
Crystal system: tetragonal
Theoretical density, g/cm3: 4.25
ΔE to the lowest computed polymorph, eV per atom: 0.1012
Space group: P4mm
E_form (uncorrected), eV per atom: 0.356

(3)
VASP calculation (GGA-PBE) on a geometry-optimized Na3Sm3AlS8 structure.

CIF file:
```
data_Na3Sm3AlS8
_chemical_formula_sum 'Na3 Sm3 Al1 S8'
_cell_length_a 7.9485
_cell_length_b 7.9487
_cell_length_c 8.1510
_cell_angle_alpha 119.20
_cell_angle_beta 90.00
_cell_angle_gamma 120.00
_symmetry_space_group_name_H-M 'P 1'
_symmetry_Int_Tables_number 1
_symmetry_space_group_name_Hall 'P 1'
loop_
_atom_site_label
_atom_site_fract_x
_atom_site_fract_y
_atom_site_fract_z
_atom_site_occupancy
Na1 0.0000 0.0000 0.0000 1
Na2 0.0000 0.5000 0.0000 1
Na3 0.5000 0.5000 0.0000 1
Sm1 0.5000 0.0000 0.5000 1
Sm2 0.5000 0.5000 0.5000 1
Sm3 0.0000 0.5000 0.5000 1
Al1 0.0000 0.0000 0.5000 1
S1 0.2555 0.5110 0.2666 1
S2 0.7445 0.4890 0.7334 1
S3 0.7803 0.5607 0.2889 1
S4 0.2197 0.4393 0.7111 1
S5 0.7803 0.0085 0.2888 1
S6 0.2197 0.9915 0.7112 1
S7 0.2282 0.0085 0.2888 1
S8 0.7718 0.9915 0.7112 1
```

Computed properties:
Crystal system: trigonal
Theoretical density, g/cm3: 3.62
Space group: R-3m
E_form (uncorrected), eV per atom: -1.510

(4)
VASP calculation (GGA-PBE) on a geometry-optimized PrDy5In3 structure.

CIF file:
```
data_PrDy5In3
_chemical_formula_sum 'Pr2 Dy10 In6'
_cell_length_a 6.7612
_cell_length_b 9.4061
_cell_length_c 9.4061
_cell_angle_alpha 120.00
_cell_angle_beta 90.00
_cell_angle_gamma 90.00
_symmetry_space_group_name_H-M 'P 1'
_symmetry_Int_Tables_number 1
_symmetry_space_group_name_Hall 'P 1'
loop_
_atom_site_label
_atom_site_fract_x
_atom_site_fract_y
_atom_site_fract_z
_atom_site_occupancy
Pr1 0.0000 0.0000 0.0000 1
Pr2 0.5000 0.0000 0.0000 1
Dy1 0.0000 0.6667 0.3334 1
Dy2 0.5000 0.3333 0.6666 1
Dy3 0.0000 0.3333 0.6666 1
Dy4 0.5000 0.6667 0.3334 1
Dy5 0.7500 0.6697 0.6697 1
Dy6 0.7500 0.0000 0.3303 1
Dy7 0.7500 0.3302 0.0000 1
Dy8 0.2500 0.3303 0.3303 1
Dy9 0.2500 0.0000 0.6697 1
Dy10 0.2500 0.6698 0.0000 1
In1 0.7500 0.3407 0.3407 1
In2 0.7500 0.0000 0.6593 1
In3 0.7500 0.6592 0.0000 1
In4 0.2500 0.6593 0.6593 1
In5 0.2500 0.0000 0.3407 1
In6 0.2500 0.3408 0.0000 1
```

Computed properties:
Crystal system: hexagonal
Theoretical density, g/cm3: 8.32
ΔE to the lowest computed polymorph, eV per atom: 0.0000
Space group: P6_3/mcm
ΔH_f (0 K), eV/atom: -0.348

(5)
VASP calculation (GGA-PBE) on a geometry-optimized LiLa2Tl structure.

CIF file:
```
data_LiLa2Tl
_chemical_formula_sum 'Li1 La2 Tl1'
_cell_length_a 8.5262
_cell_length_b 5.0440
_cell_length_c 4.6466
_cell_angle_alpha 89.98
_cell_angle_beta 56.98
_cell_angle_gamma 126.46
_symmetry_space_group_name_H-M 'P 1'
_symmetry_Int_Tables_number 1
_symmetry_space_group_name_Hall 'P 1'
loop_
_atom_site_label
_atom_site_fract_x
_atom_site_fract_y
_atom_site_fract_z
_atom_site_occupancy
Tl1 0.5000 0.5000 0.0000 1
La1 0.0000 0.0000 0.0000 1
La2 0.5000 0.0000 0.5000 1
Li1 0.0000 0.5000 0.5000 1
```

Computed properties:
Crystal system: orthorhombic
Theoretical density, g/cm3: 6.87
Space group: Cmmm
ΔH_f (0 K), eV/atom: -0.223

(6)
VASP calculation (GGA-PBE) on a geometry-optimized La2Sm3Y structure.

CIF file:
```
data_La2Sm3Y
_chemical_formula_sum 'La4 Sm6 Y2'
_cell_length_a 3.6065
_cell_length_b 9.8581
_cell_length_c 11.8257
_cell_angle_alpha 86.96
_cell_angle_beta 90.00
_cell_angle_gamma 90.00
_symmetry_space_group_name_H-M 'P 1'
_symmetry_Int_Tables_number 1
_symmetry_space_group_name_Hall 'P 1'
loop_
_atom_site_label
_atom_site_fract_x
_atom_site_fract_y
_atom_site_fract_z
_atom_site_occupancy
La1 0.2500 0.4405 0.8587 1
La2 0.7500 0.5595 0.1413 1
La3 0.7500 0.0848 0.3775 1
La4 0.2500 0.9152 0.6225 1
Sm1 0.7500 0.9231 0.1189 1
Sm2 0.2500 0.0769 0.8811 1
Sm3 0.7500 0.7671 0.8593 1
Sm4 0.2500 0.2329 0.1407 1
Sm5 0.2500 0.4011 0.4001 1
Sm6 0.7500 0.5989 0.5999 1
Y1 0.2500 0.7569 0.3558 1
Y2 0.7500 0.2431 0.6442 1
```

Computed properties:
Crystal system: monoclinic
Theoretical density, g/cm3: 6.47
ΔE to the lowest computed polymorph, eV per atom: 0.0058
Space group: P2_1/m
ΔH_f (0 K), eV/atom: 0.061

(7)
VASP calculation (GGA-PBE) on a geometry-optimized K2Ge2Au7 structure.

CIF file:
```
data_K2Ge2Au7
_chemical_formula_sum 'K2 Ge2 Au7'
_cell_length_a 7.3994
_cell_length_b 7.3994
_cell_length_c 5.8117
_cell_angle_alpha 69.16
_cell_angle_beta 69.16
_cell_angle_gamma 71.51
_symmetry_space_group_name_H-M 'P 1'
_symmetry_Int_Tables_number 1
_symmetry_space_group_name_Hall 'P 1'
loop_
_atom_site_label
_atom_site_fract_x
_atom_site_fract_y
_atom_site_fract_z
_atom_site_occupancy
K1 0.2573 0.7427 0.5000 1
K2 0.7427 0.2573 0.5000 1
Ge1 0.3007 0.3007 0.9876 1
Ge2 0.6993 0.6993 0.0124 1
Au1 0.0485 0.5886 0.1598 1
Au2 0.4114 0.9515 0.8402 1
Au3 0.9515 0.4114 0.8402 1
Au4 0.5886 0.0485 0.1598 1
Au5 0.7787 0.7787 0.5203 1
Au6 0.0000 0.0000 0.0000 1
Au7 0.2213 0.2213 0.4797 1
```

Computed properties:
Crystal system: monoclinic
Theoretical density, g/cm3: 9.81
Space group: C2/m
ΔH_f (0 K), eV/atom: -0.138

(8)
VASP calculation (GGA-PBE) on a geometry-optimized Cd2Sn2Hg structure.

CIF file:
```
data_Cd2Sn2Hg
_chemical_formula_sum 'Cd2 Sn2 Hg1'
_cell_length_a 4.5692
_cell_length_b 4.5692
_cell_length_c 7.4871
_cell_angle_alpha 72.23
_cell_angle_beta 72.23
_cell_angle_gamma 90.00
_symmetry_space_group_name_H-M 'P 1'
_symmetry_Int_Tables_number 1
_symmetry_space_group_name_Hall 'P 1'
loop_
_atom_site_label
_atom_site_fract_x
_atom_site_fract_y
_atom_site_fract_z
_atom_site_occupancy
Cd1 0.7500 0.2500 0.5000 1
Cd2 0.2500 0.7500 0.5000 1
Hg1 0.0000 0.0000 0.0000 1
Sn1 0.3923 0.3923 0.2154 1
Sn2 0.6077 0.6077 0.7846 1
```

Computed properties:
Crystal system: tetragonal
Theoretical density, g/cm3: 7.81
ΔE to the lowest computed polymorph, eV per atom: 0.0550
Space group: I4/mmm
ΔH_f (0 K), eV/atom: 0.115

(9)
VASP calculation (GGA-PBE) on a geometry-optimized Sr4Al structure.

CIF file:
```
data_Sr4Al
_chemical_formula_sum 'Sr4 Al1'
_cell_length_a 6.7978
_cell_length_b 6.7978
_cell_length_c 6.7978
_cell_angle_alpha 109.47
_cell_angle_beta 109.47
_cell_angle_gamma 109.47
_symmetry_space_group_name_H-M 'P 1'
_symmetry_Int_Tables_number 1
_symmetry_space_group_name_Hall 'P 1'
loop_
_atom_site_label
_atom_site_fract_x
_atom_site_fract_y
_atom_site_fract_z
_atom_site_occupancy
Sr1 0.0000 0.5000 0.0000 1
Sr2 0.0000 0.0000 0.5000 1
Sr3 0.5000 0.5000 0.5000 1
Sr4 0.5000 0.0000 0.0000 1
Al1 0.0000 0.0000 0.0000 1
```

Computed properties:
Crystal system: cubic
Theoretical density, g/cm3: 2.59
ΔE to the lowest computed polymorph, eV per atom: 0.0626
Space group: Im-3m
ΔH_f (0 K), eV/atom: 0.146

(10)
VASP calculation (GGA-PBE) on a geometry-optimized Tl2Te2H2I structure.

CIF file:
```
data_Tl2Te2H2I
_chemical_formula_sum 'Tl2 Te2 H2 I1'
_cell_length_a 3.9929
_cell_length_b 4.8443
_cell_length_c 11.7943
_cell_angle_alpha 85.96
_cell_angle_beta 90.00
_cell_angle_gamma 114.34
_symmetry_space_group_name_H-M 'P 1'
_symmetry_Int_Tables_number 1
_symmetry_space_group_name_Hall 'P 1'
loop_
_atom_site_label
_atom_site_fract_x
_atom_site_fract_y
_atom_site_fract_z
_atom_site_occupancy
Tl1 0.6658 0.3315 0.1967 1
Tl2 0.3342 0.6685 0.8033 1
Te1 0.9395 0.8790 0.3858 1
Te2 0.0605 0.1210 0.6142 1
H1 0.5617 0.1235 0.5968 1
H2 0.4383 0.8765 0.4032 1
I1 0.0000 0.0000 0.0000 1
```

Computed properties:
Crystal system: monoclinic
Theoretical density, g/cm3: 6.35
Space group: C2/m
E, eV per formula unit: -19.23

(11)
VASP calculation (GGA-PBE) on a geometry-optimized Y3Mn structure.

CIF file:
```
data_Y3Mn
_chemical_formula_sum 'Y3 Mn1'
_cell_length_a 3.5689
_cell_length_b 3.5689
_cell_length_c 10.2953
_cell_angle_alpha 90.00
_cell_angle_beta 90.00
_cell_angle_gamma 120.00
_symmetry_space_group_name_H-M 'P 1'
_symmetry_Int_Tables_number 1
_symmetry_space_group_name_Hall 'P 1'
loop_
_atom_site_label
_atom_site_fract_x
_atom_site_fract_y
_atom_site_fract_z
_atom_site_occupancy
Mn1 0.0000 0.0000 0.0000 1
Y1 0.0000 0.0000 0.5000 1
Y2 0.3333 0.6667 0.2149 1
Y3 0.3333 0.6667 0.7851 1
```

Computed properties:
Crystal system: hexagonal
Theoretical density, g/cm3: 4.70
Space group: P-6m2
ΔH_f (0 K), eV/atom: 0.229

(12)
VASP calculation (GGA-PBE) on a geometry-optimized Al3CdHg structure.

CIF file:
```
data_Al3CdHg
_chemical_formula_sum 'Al3 Cd1 Hg1'
_cell_length_a 5.1185
_cell_length_b 5.1185
_cell_length_c 5.1185
_cell_angle_alpha 90.00
_cell_angle_beta 90.00
_cell_angle_gamma 90.00
_symmetry_space_group_name_H-M 'P 1'
_symmetry_Int_Tables_number 1
_symmetry_space_group_name_Hall 'P 1'
loop_
_atom_site_label
_atom_site_fract_x
_atom_site_fract_y
_atom_site_fract_z
_atom_site_occupancy
Al1 0.0000 0.5000 0.0000 1
Al2 0.0000 0.0000 0.5000 1
Al3 0.5000 0.0000 0.0000 1
Hg1 0.0000 0.0000 0.0000 1
Cd1 0.5000 0.5000 0.5000 1
```

Computed properties:
Crystal system: cubic
Theoretical density, g/cm3: 4.88
ΔE to the lowest computed polymorph, eV per atom: 0.0000
Space group: Pm-3m
ΔH_f (0 K), eV/atom: 0.639

(13)
VASP calculation (GGA-PBE) on a geometry-optimized LiAl2TcP structure.

CIF file:
```
data_LiAl2TcP
_chemical_formula_sum 'Li1 Al2 Tc1 P1'
_cell_length_a 4.6927
_cell_length_b 4.3767
_cell_length_c 4.6927
_cell_angle_alpha 90.00
_cell_angle_beta 90.00
_cell_angle_gamma 90.00
_symmetry_space_group_name_H-M 'P 1'
_symmetry_Int_Tables_number 1
_symmetry_space_group_name_Hall 'P 1'
loop_
_atom_site_label
_atom_site_fract_x
_atom_site_fract_y
_atom_site_fract_z
_atom_site_occupancy
P1 0.0000 0.0000 0.0000 1
Li1 0.5000 0.5000 0.5000 1
Tc1 0.0000 0.5000 0.0000 1
Al1 0.0000 0.0000 0.5000 1
Al2 0.5000 0.0000 0.0000 1
```

Computed properties:
Crystal system: tetragonal
Theoretical density, g/cm3: 3.27
Space group: P4/mmm
ΔH_f (0 K), eV/atom: 0.439

(14)
VASP calculation (GGA-PBE) on a geometry-optimized GaFe4Ir structure.

CIF file:
```
data_GaFe4Ir
_chemical_formula_sum 'Ga1 Fe4 Ir1'
_cell_length_a 4.7717
_cell_length_b 4.7717
_cell_length_c 4.7717
_cell_angle_alpha 60.00
_cell_angle_beta 60.00
_cell_angle_gamma 60.00
_symmetry_space_group_name_H-M 'P 1'
_symmetry_Int_Tables_number 1
_symmetry_space_group_name_Hall 'P 1'
loop_
_atom_site_label
_atom_site_fract_x
_atom_site_fract_y
_atom_site_fract_z
_atom_site_occupancy
Ir1 0.2500 0.2500 0.2500 1
Fe1 0.6251 0.6251 0.1247 1
Fe2 0.6251 0.1247 0.6251 1
Fe3 0.6251 0.6251 0.6251 1
Fe4 0.1247 0.6251 0.6251 1
Ga1 0.0000 0.0000 0.0000 1
```

Computed properties:
Crystal system: cubic
Theoretical density, g/cm3: 10.49
ΔE to the lowest computed polymorph, eV per atom: 0.1061
Space group: F-43m
ΔH_f (0 K), eV/atom: 0.043

(15)
VASP calculation (GGA-PBE) on a geometry-optimized Rb6HAu2Cl3 structure.

CIF file:
```
data_Rb6HAu2Cl3
_chemical_formula_sum 'Rb6 H1 Au2 Cl3'
_cell_length_a 8.2823
_cell_length_b 8.2823
_cell_length_c 8.2960
_cell_angle_alpha 99.56
_cell_angle_beta 99.56
_cell_angle_gamma 119.96
_symmetry_space_group_name_H-M 'P 1'
_symmetry_Int_Tables_number 1
_symmetry_space_group_name_Hall 'P 1'
loop_
_atom_site_label
_atom_site_fract_x
_atom_site_fract_y
_atom_site_fract_z
_atom_site_occupancy
Rb1 0.9135 0.5991 0.7424 1
Rb2 0.7739 0.7739 0.2481 1
Rb3 0.0865 0.4009 0.2576 1
Rb4 0.5991 0.9135 0.7424 1
Rb5 0.2261 0.2261 0.7519 1
Rb6 0.4009 0.0865 0.2576 1
H1 0.0000 0.0000 0.0000 1
Au1 0.3327 0.6673 0.0000 1
Au2 0.6673 0.3327 0.0000 1
Cl1 0.1679 0.8321 0.5000 1
Cl2 0.8321 0.1679 0.5000 1
Cl3 0.5000 0.5000 0.5000 1
```

Computed properties:
Crystal system: monoclinic
Theoretical density, g/cm3: 3.62
Space group: C2/m
E, eV per formula unit: -34.08